[1]
## LiVP (PBE-GGA)

Data for crystalline LiVP at its relaxed geometry.

Cell lengths 3.6590, 3.6590, 6.5288 Å; angles 90.00, 90.00, 90.00 degrees
Element x y z (fractional)
P: 0.0000 0.5000 0.2548
P: 0.5000 0.0000 0.7452
Li: 0.0000 0.5000 0.8566
Li: 0.5000 0.0000 0.1434
V: 0.0000 0.0000 0.5000
V: 0.5000 0.5000 0.5000

ΔH_f (0 K) in eV per atom: -0.672
Spin magnetization in μB/f.u.: 0.00

[2]
## Dy5InHg6 (PBE-GGA)

Data for crystalline Dy5InHg6 at its relaxed geometry.

Cell lengths 5.2089, 7.4982, 8.1705 Å; angles 90.00, 71.58, 90.00 degrees
Element x y z (fractional)
Dy: 0.6735 0.5000 0.6525
Dy: 0.3464 0.0000 0.3081
Dy: 0.0000 0.5000 0.0000
Dy: 0.6536 0.0000 0.6919
Dy: 0.3265 0.5000 0.3475
Hg: 0.8307 0.7597 0.3389
Hg: 0.8307 0.2403 0.3389
Hg: 0.5000 0.2676 0.0000
Hg: 0.5000 0.7324 0.0000
Hg: 0.1693 0.7597 0.6611
Hg: 0.1693 0.2403 0.6611
In: 0.0000 0.0000 0.0000

ΔH_f (0 K) in eV per atom: -0.447
Spin magnetization in μB/f.u.: 0.01

[3]
## Tb2Nd7Sc (PBE-GGA)

Data for crystalline Tb2Nd7Sc at its relaxed geometry.

Cell lengths 5.3318, 9.6662, 9.6662 Å; angles 125.59, 90.00, 90.00 degrees
Element x y z (fractional)
Tb: 0.5000 0.7048 0.2952
Tb: 0.5000 0.2952 0.7048
Nd: 0.0000 0.8020 0.1980
Nd: 0.0000 0.1980 0.8020
Nd: 0.5000 0.0729 0.2867
Nd: 0.5000 0.9271 0.7133
Nd: 0.5000 0.2867 0.0729
Nd: 0.5000 0.7133 0.9271
Nd: 0.5000 0.5000 0.5000
Sc: 0.0000 0.0000 0.0000

ΔH_f (0 K) in eV per atom: 0.650
Spin magnetization in μB/f.u.: 0.00

[4]
## GdDyEr (PBE-GGA)

Data for crystalline GdDyEr at its relaxed geometry.

Cell lengths 3.5488, 3.5488, 7.9085 Å; angles 102.97, 102.97, 90.00 degrees
Element x y z (fractional)
Gd: 0.0004 0.0004 0.0007
Dy: 0.3315 0.3315 0.6630
Er: 0.6681 0.6681 0.3363

ΔH_f (0 K) in eV per atom: 0.023
Spin magnetization in μB/f.u.: 7.27

[5]
## SrAsIO6 (PBE-GGA)

Data for crystalline SrAsIO6 at its relaxed geometry.

Cell lengths 5.6676, 5.6714, 5.2424 Å; angles 90.08, 89.89, 55.67 degrees
Element x y z (fractional)
Sr: 0.0052 0.0051 0.0002
As: 0.6857 0.6848 0.4999
I: 0.3380 0.3376 0.5002
O: 0.0410 0.3600 0.2967
O: 0.3580 0.0430 0.7036
O: 0.5853 0.3474 0.7235
O: 0.0016 0.6370 0.6958
O: 0.3487 0.5839 0.2761
O: 0.6363 0.0013 0.3038

Formation energy from raw total energies in kJ/mol of atoms: -111.07
Spin magnetization in μB/f.u.: 0.00

[6]
## Ni2SbRu (PBE-GGA)

Data for crystalline Ni2SbRu at its relaxed geometry.

Cell lengths 3.2946, 3.2946, 5.3443 Å; angles 90.00, 90.00, 90.01 degrees
Element x y z (fractional)
Ni: 0.0000 0.0000 0.0147
Ni: 0.0000 0.0000 0.4853
Ru: 0.5000 0.5000 0.2500
Sb: 0.5000 0.5000 0.7500

Formation energy from raw total energies in kJ/mol of atoms: 19.37
Spin magnetization in μB/f.u.: 1.41

[7]
## In2Pd8Au (PBE-GGA)

Data for crystalline In2Pd8Au at its relaxed geometry.

Cell lengths 4.1308, 6.4352, 7.4370 Å; angles 106.78, 106.12, 90.00 degrees
Element x y z (fractional)
In: 0.7788 0.3421 0.5576
In: 0.2212 0.6579 0.4424
Pd: 0.4054 0.5436 0.8109
Pd: 0.6771 0.9095 0.3542
Pd: 0.8579 0.8077 0.7159
Pd: 0.9597 0.2745 0.9194
Pd: 0.1421 0.1923 0.2841
Pd: 0.3229 0.0905 0.6458
Pd: 0.5946 0.4564 0.1891
Pd: 0.0403 0.7255 0.0806
Au: 0.5000 0.0000 0.0000

ΔH_f (0 K) in eV per atom: -0.310
Relative energy among the computed polymorphs in meV/atom: 0.0
Spin magnetization in μB/f.u.: 0.00

[8]
## TcMo (PBE-GGA)

Data for crystalline TcMo at its relaxed geometry.

Cell lengths 3.1233, 4.4124, 4.4565 Å; angles 89.94, 89.76, 89.92 degrees
Element x y z (fractional)
Tc: 0.2210 0.4964 0.2431
Tc: 0.7790 0.5036 0.7569
Mo: 0.7605 0.0020 0.2565
Mo: 0.2395 0.9980 0.7435

ΔH_f (0 K) in eV per atom: 0.102
Relative energy among the computed polymorphs in meV/atom: 25.7
Spin magnetization in μB/f.u.: 0.00

[9]
## NaPm3Nd4Se8 (PBE-GGA)

Data for crystalline NaPm3Nd4Se8 at its relaxed geometry.

Cell lengths 8.4306, 8.4330, 8.4312 Å; angles 119.99, 120.00, 90.00 degrees
Element x y z (fractional)
Na: 0.0000 0.5000 0.0000
Pm: 0.5000 0.5000 0.0000
Pm: 0.5000 0.5000 0.5000
Pm: 0.0000 0.5000 0.5000
Nd: 0.5000 0.0000 0.0000
Nd: 0.5000 0.0000 0.5000
Nd: 0.0000 0.0000 0.0000
Nd: 0.0000 0.0000 0.5000
Se: 0.2472 0.7454 0.9981
Se: 0.2473 0.7454 0.4945
Se: 0.2510 0.2529 0.5020
Se: 0.7509 0.7454 0.9981
Se: 0.2491 0.2546 0.0019
Se: 0.7490 0.7471 0.4980
Se: 0.7527 0.2546 0.5055
Se: 0.7528 0.2546 0.0019

Formation energy from raw total energies in kJ/mol of atoms: -173.66
Spin magnetization in μB/f.u.: 0.00

[10]
## CuAsBr2N (PBE-GGA)

Data for crystalline CuAsBr2N at its relaxed geometry.

Cell lengths 4.5116, 4.5116, 4.5772 Å; angles 90.00, 90.00, 90.00 degrees
Element x y z (fractional)
As: 0.0000 0.0000 0.5000
Cu: 0.5000 0.5000 0.5000
Br: 0.0000 0.5000 0.0000
Br: 0.5000 0.0000 0.0000
N: 0.0000 0.0000 0.0000

Formation energy from raw total energies in kJ/mol of atoms: 115.15
Relative energy among the computed polymorphs in meV/atom: 0.0
Spin magnetization in μB/f.u.: 0.00

[11]
## ZrMn2Br (PBE-GGA)

Data for crystalline ZrMn2Br at its relaxed geometry.

Cell lengths 7.2198, 7.2198, 7.2198 Å; angles 28.92, 28.92, 28.92 degrees
Element x y z (fractional)
Br: 0.7576 0.7576 0.7576
Mn: 0.9593 0.9593 0.9593
Mn: 0.2618 0.2618 0.2618
Zr: 0.5213 0.5213 0.5213

Formation energy from raw total energies in kJ/mol of atoms: 4.40
Relative energy among the computed polymorphs in meV/atom: 0.0
Spin magnetization in μB/f.u.: 0.03

[12]
## Ba8MgIn2 (PBE-GGA)

Data for crystalline Ba8MgIn2 at its relaxed geometry.

Cell lengths 6.0469, 10.3391, 10.2814 Å; angles 120.19, 107.10, 90.00 degrees
Element x y z (fractional)
Ba: 0.6582 0.8692 0.3164
Ba: 0.3418 0.5529 0.6836
Ba: 0.1378 0.1378 0.2756
Ba: 0.0000 0.3299 0.0000
Ba: 0.8622 0.8622 0.7244
Ba: 0.6582 0.4471 0.3164
Ba: 0.3418 0.1308 0.6836
Ba: 0.0000 0.6700 0.0000
Mg: 0.5000 0.0000 0.0000
In: 0.2011 0.7011 0.4023
In: 0.7989 0.2989 0.5977

ΔH_f (0 K) in eV per atom: -0.132
Relative energy among the computed polymorphs in meV/atom: 41.1
Spin magnetization in μB/f.u.: 0.00

- The highest spin magnetization belongs to which entry?
  GdDyEr